Record 1
This record from the Alexandria database describes a geometry-optimized LiMo2P3O12 structure. The functional is GGA-PBEsol.

a = 8.8951 Å, b = 9.0616 Å, c = 12.2484 Å
α = 90.00°, β = 90.00°, γ = 90.00°
Each line ends with the local moment (μB).
Fractional coordinates of all 72 atoms:
O (0.6300, 0.7080, 0.3808)  0.04
O (0.6571, 0.9222, 0.2500)  0.00
O (0.9406, 0.6380, 0.0653)  0.04
O (0.6979, 0.9697, 0.4417)  0.02
O (0.4329, 0.6009, 0.8768)  0.03
O (0.3700, 0.2080, 0.3808)  0.04
O (0.3700, 0.2920, 0.6192)  0.04
O (0.9406, 0.8620, 0.9347)  0.04
O (0.3021, 0.0303, 0.5583)  0.02
O (0.6979, 0.5303, 0.5583)  0.02
O (0.1318, 0.8271, 0.4123)  0.03
O (0.3700, 0.2080, 0.1192)  0.04
O (0.3429, 0.0778, 0.7500)  0.00
O (0.0594, 0.3620, 0.5653)  0.04
O (0.7900, 0.9839, 0.7500)  -0.10
O (0.0594, 0.3620, 0.9347)  0.04
O (0.6979, 0.5303, 0.9417)  0.02
O (0.6979, 0.9697, 0.0583)  0.02
O (0.8682, 0.1729, 0.5877)  0.03
O (0.2100, 0.0161, 0.2500)  -0.10
O (0.0594, 0.1380, 0.4347)  0.04
O (0.6300, 0.7080, 0.1192)  0.04
O (0.3429, 0.4222, 0.2500)  0.00
O (0.6300, 0.7920, 0.6192)  0.04
O (0.6300, 0.7920, 0.8808)  0.04
O (0.4329, 0.6009, 0.6232)  0.03
O (0.5671, 0.3991, 0.3768)  0.03
O (0.5671, 0.1009, 0.8768)  0.03
O (0.3021, 0.4697, 0.0583)  0.02
O (0.5671, 0.3991, 0.1232)  0.03
O (0.0594, 0.1380, 0.0653)  0.04
O (0.8682, 0.3271, 0.0877)  0.03
O (0.4329, 0.8991, 0.3768)  0.03
O (0.3021, 0.4697, 0.4417)  0.02
O (0.2100, 0.4839, 0.7500)  -0.10
O (0.9406, 0.8620, 0.5653)  0.04
O (0.5671, 0.1009, 0.6232)  0.03
O (0.7900, 0.5161, 0.2500)  -0.10
O (0.6571, 0.5778, 0.7500)  0.00
O (0.1318, 0.8271, 0.0877)  0.03
O (0.1318, 0.6729, 0.5877)  0.03
O (0.3021, 0.0303, 0.9417)  0.02
O (0.3700, 0.2920, 0.8808)  0.04
O (0.1318, 0.6729, 0.9123)  0.03
O (0.8682, 0.3271, 0.4123)  0.03
O (0.8682, 0.1729, 0.9123)  0.03
O (0.9406, 0.6380, 0.4347)  0.04
O (0.4329, 0.8991, 0.1232)  0.03
P (0.6001, 0.6279, 0.6311)  0.01
P (0.6001, 0.8721, 0.1311)  0.01
P (0.9677, 0.2500, 0.5000)  0.02
P (0.3999, 0.3721, 0.3689)  0.01
P (0.3999, 0.3721, 0.1311)  0.01
P (0.3999, 0.1279, 0.6311)  0.01
P (0.6001, 0.8721, 0.3689)  0.01
P (0.3999, 0.1279, 0.8689)  0.01
P (0.6001, 0.6279, 0.8689)  0.01
P (0.0323, 0.7500, 0.0000)  0.02
P (0.0323, 0.7500, 0.5000)  0.02
P (0.9677, 0.2500, 0.0000)  0.02
Li (0.8650, 0.2928, 0.2500)  0.00
Li (0.1350, 0.7928, 0.2500)  0.00
Li (0.8650, 0.2072, 0.7500)  0.00
Li (0.1350, 0.7072, 0.7500)  0.00
Mo (0.2471, 0.4758, 0.6006)  1.70
Mo (0.2471, 0.0242, 0.3994)  1.70
Mo (0.7529, 0.5242, 0.1006)  1.70
Mo (0.2471, 0.0242, 0.1006)  1.70
Mo (0.2471, 0.4758, 0.8994)  1.70
Mo (0.7529, 0.5242, 0.3994)  1.70
Mo (0.7529, 0.9758, 0.8994)  1.70
Mo (0.7529, 0.9758, 0.6006)  1.70

Calculated volume: 13.712 Å³/atom
Energy above the most stable polymorph in this dataset: 0.0096 eV/atom
Space-group type: Pbcm



Record 2
This record from the Alexandria database describes a geometry-optimized LiMoPO5 structure. The functional is GGA-PBEsol.

a = 6.5485 Å, b = 7.3329 Å, c = 7.3812 Å
α = 90.00°, β = 90.00°, γ = 90.00°
Each line ends with the local moment (μB).
Fractional coordinates of all 32 atoms:
O (0.7500, 0.6059, 0.6797)  -0.03
O (0.7500, 0.8029, 0.0133)  0.03
O (0.7500, 0.4543, 0.0210)  0.06
O (0.5620, 0.6320, 0.2611)  0.02
O (0.2500, 0.8941, 0.1797)  -0.03
O (0.2500, 0.1971, 0.9867)  0.03
O (0.2500, 0.5457, 0.9790)  0.06
O (0.9380, 0.1320, 0.2389)  0.02
O (0.0620, 0.8680, 0.7611)  0.02
O (0.4380, 0.3680, 0.7389)  0.02
O (0.2500, 0.6971, 0.5133)  0.03
O (0.4380, 0.8680, 0.7611)  0.02
O (0.7500, 0.3029, 0.4867)  0.03
O (0.7500, 0.9543, 0.4790)  0.06
O (0.9380, 0.6320, 0.2611)  0.02
O (0.5620, 0.1320, 0.2389)  0.02
O (0.2500, 0.0457, 0.5210)  0.06
O (0.7500, 0.1059, 0.8203)  -0.03
O (0.2500, 0.3941, 0.3203)  -0.03
O (0.0620, 0.3680, 0.7389)  0.02
Mo (0.2500, 0.1408, 0.2689)  1.54
Mo (0.7500, 0.8592, 0.7311)  1.54
Mo (0.7500, 0.3592, 0.7689)  1.54
Mo (0.2500, 0.6408, 0.2311)  1.54
Li (0.5000, 0.0000, 0.0000)  0.00
Li (0.0000, 0.5000, 0.5000)  0.00
Li (0.0000, 0.0000, 0.0000)  0.00
Li (0.5000, 0.5000, 0.5000)  0.00
P (0.2500, 0.3703, 0.8650)  0.02
P (0.7500, 0.1297, 0.3650)  0.02
P (0.7500, 0.6297, 0.1350)  0.02
P (0.2500, 0.8703, 0.6350)  0.02

Calculated volume: 11.076 Å³/atom
Energy above the most stable polymorph in this dataset: 0.0130 eV/atom
Space-group type: Pnma